Model P:
VASP calculation (PBE-GGA) on crystalline LiSm2Ga2 at its relaxed geometry.

Computed properties:
The value obtained for the density of states at the Fermi level is 0.937 states/eV/atom.

```
data_LiSm2Ga2
_chemical_formula_sum 'Li4 Sm8 Ga8'
_cell_length_a 6.433
_cell_length_b 12.437
_cell_length_c 6.115
_cell_angle_alpha 90.00
_cell_angle_beta 90.00
_cell_angle_gamma 90.00
_symmetry_space_group_name_H-M 'I b a m'
_symmetry_Int_Tables_number 72
_symmetry_space_group_name_Hall '-I 2 2c'
loop_
_atom_site_label
_atom_site_type_symbol
_atom_site_fract_x
_atom_site_fract_y
_atom_site_fract_z
Li1 Li 0.000 0.000 0.250
Sm1 Sm 0.197 0.354 0.000
Ga1 Ga 0.222 0.111 0.000
```


Model Q:
VASP calculation (PBE-GGA) on crystalline LiSm2Ga2 at its relaxed geometry.

Computed properties:
The value obtained for the density of states at the Fermi level is 0.705 states/eV/atom.

```
data_LiSm2Ga2
_chemical_formula_sum 'Li4 Sm8 Ga8'
_cell_length_a 10.509
_cell_length_b 4.588
_cell_length_c 10.979
_cell_angle_alpha 90.00
_cell_angle_beta 118.57
_cell_angle_gamma 90.00
_symmetry_space_group_name_H-M 'C 1 2/m 1'
_symmetry_Int_Tables_number 12
loop_
_symmetry_equiv_pos_as_xyz
'x,y,z'
'-x,-y,-z'
'-x,y,-z'
'x,-y,z'
'x+1/2,y+1/2,z'
'-x+1/2,-y+1/2,-z'
'-x+1/2,y+1/2,-z'
'x+1/2,-y+1/2,z'
loop_
_atom_site_label
_atom_site_type_symbol
_atom_site_fract_x
_atom_site_fract_y
_atom_site_fract_z
Li1 Li 0.226 0.000 0.362
Sm1 Sm 0.019 0.500 0.329
Sm2 Sm 0.189 0.500 0.104
Ga1 Ga 0.017 0.000 0.888
Ga2 Ga 0.137 0.000 0.572
```


Stability ranking, top and bottom: model Q is the most stable and model P is the least stable.


Model P:
VASP calculation (PBE-GGA) on crystalline Li3GaSn3 at its relaxed geometry.

Computed properties:
The value obtained for the density of states at the Fermi level is 0.075 states/eV/atom.

```
data_Li3GaSn3
_chemical_formula_sum 'Li12 Ga4 Sn12'
_cell_length_a 9.354
_cell_length_b 9.271
_cell_length_c 6.597
_cell_angle_alpha 90.00
_cell_angle_beta 90.69
_cell_angle_gamma 90.00
_symmetry_space_group_name_H-M 'C 1 2/m 1'
_symmetry_Int_Tables_number 12
loop_
_symmetry_equiv_pos_as_xyz
'x,y,z'
'-x,-y,-z'
'-x,y,-z'
'x,-y,z'
'x+1/2,y+1/2,z'
'-x+1/2,-y+1/2,-z'
'-x+1/2,y+1/2,-z'
'x+1/2,-y+1/2,z'
loop_
_atom_site_label
_atom_site_type_symbol
_atom_site_fract_x
_atom_site_fract_y
_atom_site_fract_z
Li1 Li 0.000 0.219 0.000
Li2 Li 0.000 0.256 0.500
Li3 Li 0.223 0.000 0.028
Ga1 Ga 0.014 0.000 0.705
Sn1 Sn 0.007 0.500 0.236
Sn2 Sn 0.250 0.237 0.736
```


Model Q:
VASP calculation (PBE-GGA) on crystalline Li3GaSn3 at its relaxed geometry.

Computed properties:
The value obtained for the density of states at the Fermi level is 0.140 states/eV/atom.

```
data_Li3GaSn3
_chemical_formula_sum 'Li12 Ga4 Sn12'
_cell_length_a 8.424
_cell_length_b 13.012
_cell_length_c 6.687
_cell_angle_alpha 90.00
_cell_angle_beta 119.72
_cell_angle_gamma 90.00
_symmetry_space_group_name_H-M 'C 1 2/m 1'
_symmetry_Int_Tables_number 12
loop_
_symmetry_equiv_pos_as_xyz
'x,y,z'
'-x,-y,-z'
'-x,y,-z'
'x,-y,z'
'x+1/2,y+1/2,z'
'-x+1/2,-y+1/2,-z'
'-x+1/2,y+1/2,-z'
'x+1/2,-y+1/2,z'
loop_
_atom_site_label
_atom_site_type_symbol
_atom_site_fract_x
_atom_site_fract_y
_atom_site_fract_z
Li1 Li 0.000 0.129 0.000
Li2 Li 0.000 0.312 0.500
Li3 Li 0.089 0.500 0.862
Ga1 Ga 0.106 0.000 0.740
Sn1 Sn 0.191 0.326 0.209
Sn2 Sn 0.238 0.500 0.564
```


Stability ranking, top and bottom: model P is the most stable and model Q is the least stable.